First-principles (GGA+U) data for a relaxed MnFe2IrO6 crystal, as listed in Alexandria via LeMat-Bulk.

Results
Final energy = -68.11 eV/cell
SG = R3 (146)

Unit cell a=5.530 b=5.530 c=5.530 alpha=55.47 beta=55.47 gamma=55.47
Fractional coordinates of all 10 atoms:
Mn (0.000, 0.000, 0.000)
Fe (0.294, 0.294, 0.294)
Fe (0.797, 0.797, 0.797)
Ir (0.491, 0.491, 0.491)
O (0.088, 0.680, 0.414)
O (0.203, 0.574, 0.902)
O (0.414, 0.088, 0.680)
O (0.574, 0.902, 0.203)
O (0.680, 0.414, 0.088)
O (0.902, 0.203, 0.574)